*1*
{"formula": "AsC", "functional": "PBE", "state": "relaxed", "lattice_angstrom": [[-0.274, 0.510, -2.941], [1.274, -2.770, -0.599], [-13.340, -6.799, 3.069]], "species": ["As", "As", "As", "As", "C", "C", "C", "C"], "fractional_positions": [[0.877, 0.000, 0.374], [0.123, 0.000, 0.626], [0.877, 0.500, 0.874], [0.123, 0.500, 0.126], [0.956, 0.000, 0.955], [0.044, 0.000, 0.045], [0.956, 0.500, 0.455], [0.044, 0.500, 0.545]], "density_g_cm3": 4.1, "sg": "No. 12", "n_ef_per_ev_cell": 0.990}

---

*2*
{"formula": "AsC", "functional": "PBE", "state": "relaxed", "lattice_angstrom": [[-0.631, -3.230, -0.153], [3.306, -0.444, -4.262], [4.740, -1.105, 3.792]], "species": ["As", "As", "As", "As", "C", "C", "C", "C"], "fractional_positions": [[0.250, 0.258, 0.447], [0.750, 0.242, 0.947], [0.750, 0.742, 0.553], [0.250, 0.758, 0.053], [0.250, 0.134, 0.126], [0.750, 0.366, 0.626], [0.750, 0.866, 0.874], [0.250, 0.634, 0.374]], "density_g_cm3": 5.2, "sg": "No. 62", "n_ef_per_ev_cell": 3.902}

---

*1* is preferred energetically. Next in line: 668 meV/atom higher.

---

*1*
{"formula": "AsC", "functional": "PBE", "state": "relaxed", "lattice_angstrom": [[3.595, 0.000, 0.000], [-1.798, 3.114, 0.000], [0.000, 0.000, 4.746]], "species": ["As", "As", "C", "C"], "fractional_positions": [[0.333, 0.667, 0.753], [0.667, 0.333, 0.253], [0.333, 0.667, 0.329], [0.667, 0.333, 0.829]], "density_g_cm3": 5.4, "sg": "No. 186", "n_ef_per_ev_cell": 1.435}

---

*2*
{"formula": "AsC", "functional": "PBE", "state": "relaxed", "lattice_angstrom": [[-0.188, -0.524, -3.120], [1.216, -2.653, -1.237], [-1.926, -2.256, -1.114]], "species": ["As", "C"], "fractional_positions": [[0.000, 0.000, 0.000], [0.500, 0.500, 0.500]], "density_g_cm3": 6.4, "sg": "No. 225", "n_ef_per_ev_cell": 1.198}

---

*1* is preferred energetically. Next in line: 223 meV/atom higher.

---

*1*
{"formula": "AsC", "functional": "PBE", "state": "relaxed", "lattice_angstrom": [[-0.781, 1.215, -9.149], [8.576, -3.298, -1.171], [-1.157, -2.906, -0.287]], "species": ["As", "As", "As", "As", "As", "As", "As", "As", "C", "C", "C", "C", "C", "C", "C", "C"], "fractional_positions": [[0.405, 0.213, 0.000], [0.595, 0.787, 0.000], [0.787, 0.405, 0.000], [0.213, 0.595, 0.000], [0.905, 0.713, 0.500], [0.095, 0.287, 0.500], [0.287, 0.905, 0.500], [0.713, 0.095, 0.500], [0.387, 0.833, 0.000], [0.613, 0.167, 0.000], [0.167, 0.387, 0.000], [0.833, 0.613, 0.000], [0.887, 0.333, 0.500], [0.113, 0.667, 0.500], [0.667, 0.887, 0.500], [0.333, 0.113, 0.500]], "density_g_cm3": 4.3, "sg": "No. 87", "n_ef_per_ev_cell": 6.707}

---

*2*
{"formula": "AsC", "functional": "PBE", "state": "relaxed", "lattice_angstrom": [[-3.374, 3.579, 1.820], [0.309, -2.502, 5.493], [5.942, 1.615, 0.401]], "species": ["As", "As", "As", "As", "C", "C", "C", "C"], "fractional_positions": [[0.649, 0.109, 0.218], [0.351, 0.109, 0.782], [0.649, 0.609, 0.718], [0.351, 0.609, 0.282], [0.488, 0.301, 0.385], [0.512, 0.301, 0.615], [0.488, 0.801, 0.885], [0.512, 0.801, 0.115]], "density_g_cm3": 3.3, "sg": "No. 5", "n_ef_per_ev_cell": 0.016}

---

*2* is preferred energetically. Next in line: 402 meV/atom higher.

---

*1*
{"formula": "AsC", "functional": "PBE", "state": "relaxed", "lattice_angstrom": [[-3.557, -2.035, 2.533], [4.468, 1.790, 0.194], [-1.072, 2.612, 0.594]], "species": ["As", "C"], "fractional_positions": [[0.000, 0.000, 0.000], [0.500, 0.500, 0.500]], "density_g_cm3": 3.8, "sg": "No. 65", "n_ef_per_ev_cell": 0.148}

---

*2*
{"formula": "AsC", "functional": "PBE", "state": "relaxed", "lattice_angstrom": [[-0.913, -0.601, -2.659], [2.076, -1.971, -0.267], [-1.767, -2.005, 1.060]], "species": ["As", "C"], "fractional_positions": [[0.000, 0.000, 0.000], [0.500, 0.500, 0.500]], "density_g_cm3": 6.1, "sg": "No. 221", "n_ef_per_ev_cell": 1.442}

---

*1* is preferred energetically. Next in line: 561 meV/atom higher.